The following is a DFT calculation (PBE) of a relaxed structure of Zr2PbSe.

Geometry as CIF:
```
data_Zr2PbSe
_space_group_name_H-M_alt 'F -4 3 m'
_space_group_IT_number 216
_space_group_name_Hall 'F -4 2 3'
_cell_length_a 7.179
_cell_length_b 7.179
_cell_length_c 7.179
_cell_angle_alpha 90.00
_cell_angle_beta 90.00
_cell_angle_gamma 90.00
loop_
_atom_site_label
_atom_site_type_symbol
_atom_site_fract_x
_atom_site_fract_y
_atom_site_fract_z
_atom_site_occupancy
Zr1 Zr 0.000 0.000 0.000 1
Zr2 Zr 0.250 0.250 0.250 1
Pb1 Pb 0.000 0.000 0.500 1
Se1 Se 0.250 0.250 0.750 1
```

Properties
Excess energy over the best structure of this formula in the dataset ... 741 meV/atom
E_form (uncorrected) ... 0.1168 eV per atom